1.
First-principles (PBE-GGA) data for a relaxed structure of TeAs2PBr, as listed in the Alexandria database.

extended XYZ file:
```
5
Lattice="-2.234 -2.846 -4.186 -0.596 -4.396 3.307 -4.915 1.747 1.436" Properties=species:S:1:pos:R:3 pbc="T T T"
P -3.873 -2.748 0.279
As -0.298 -2.198 1.654
As -1.117 -1.423 -2.093
Te 0.000 0.000 0.000
Br -2.457 0.873 0.718
```

The volume comes out at 33.1 Å³/atom.


2.
First-principles (PBE-GGA) data for a relaxed structure of BaNaF, as listed in the Alexandria database.

extended XYZ file:
```
3
Lattice="-0.511 0.965 3.663 3.131 -1.972 0.956 2.893 6.673 -3.349" Properties=species:S:1:pos:R:3 pbc="T T T"
Na 0.092 0.135 -0.023
Ba 3.308 2.428 1.816
F 2.114 3.103 -0.523
```

The volume comes out at 36.7 Å³/atom.


| no. | VASP energy (eV per atom) |
| --- | --- |
| 1 | -2.707 |
| 2 | -3.388 |